## YHoI6 (PBE)

Data for a relaxed YHoI6 crystal.

Cell and atoms, written as POSCAR:
```
YHoI6
1.0
3.830 -6.636 0.000
3.830 6.636 0.000
-2.491 0.000 7.443
Y Ho I
1 1 6
Cartesian
0.000 0.000 0.000
3.830 -2.225 0.000
1.090 2.214 1.781
-0.010 -0.153 5.685
1.365 -2.084 1.756
4.080 2.214 5.661
5.179 -0.153 1.757
3.804 -2.084 5.687
```

Values from the calculation:
The calculation puts the theoretical density at 4.46 g/cm³. For the total energy, the calculation gives -3.950 eV per atom. For the magnetization, the calculation gives 0.00 μB/cell.